No. 1
A plane-wave DFT calculation with PBE was carried out for crystalline ErLuBeTl at its relaxed geometry.

Unit cell a=5.0664 b=5.0664 c=5.0664 alpha=60.00 beta=60.00 gamma=60.00
With the nearest neighbours (Å) after each atom.
Atoms (fractional coordinates):
1 Be 0.5000 0.5000 0.5000  4 Lu 3.10, 4 Er 3.10
2 Lu 0.7500 0.7500 0.7500  4 Be 3.10, 4 Tl 3.10
3 Tl 0.0000 0.0000 0.0000  4 Er 3.10, 4 Lu 3.10
4 Er 0.2500 0.2500 0.2500  4 Tl 3.10, 4 Be 3.10

## Properties
crystal system: cubic


No. 2
A plane-wave DFT calculation with PBE was carried out for crystalline ErLuBeZn at its relaxed geometry.

Unit cell a=4.8660 b=4.8660 c=4.8660 alpha=60.00 beta=60.00 gamma=60.00
With the nearest neighbours (Å) after each atom.
Atoms (fractional coordinates):
1 Zn 0.0000 0.0000 0.0000  4 Er 2.98, 4 Lu 2.98
2 Er 0.7500 0.7500 0.7500  4 Be 2.98, 4 Zn 2.98
3 Be 0.5000 0.5000 0.5000  4 Er 2.98, 4 Lu 2.98
4 Lu 0.2500 0.2500 0.2500  4 Zn 2.98, 4 Be 2.98

## Properties
crystal system: cubic


No. 3
A plane-wave DFT calculation with PBE was carried out for crystalline Er2MgBe at its relaxed geometry.

Unit cell a=3.4050 b=3.4050 c=7.9215 alpha=90.00 beta=90.00 gamma=90.00
With the nearest neighbours (Å) after each atom.
Atoms (fractional coordinates):
1 Mg 0.5000 0.5000 0.5000  8 Er 3.35, 4 Mg 3.40
2 Er 0.0000 0.0000 0.2054  4 Be 2.91, 1 Er 3.25
3 Er 0.0000 0.0000 0.7946  4 Be 2.91, 1 Er 3.25
4 Be 0.5000 0.5000 0.0000  8 Er 2.91

## Properties
crystal system: tetragonal


No. 4
A plane-wave DFT calculation with PBE was carried out for crystalline Er2MgBe at its relaxed geometry.

Unit cell a=3.2915 b=3.2915 c=11.2788 alpha=81.61 beta=81.61 gamma=60.00
With the nearest neighbours (Å) after each atom.
Atoms (fractional coordinates):
1 Er 0.9134 0.9134 0.2598  1 Be 2.89
2 Er 0.0866 0.0866 0.7402  1 Be 2.89
3 Be 0.0000 0.0000 0.0000  2 Er 2.89
4 Mg 0.5000 0.5000 0.5000  6 Er 3.28, 6 Mg 3.29

## Properties
crystal system: trigonal


No. 5
A plane-wave DFT calculation with PBE was carried out for crystalline Er2MgBe at its relaxed geometry.

Unit cell a=5.0469 b=5.0469 c=5.0469 alpha=60.00 beta=60.00 gamma=60.00
With the nearest neighbours (Å) after each atom.
Atoms (fractional coordinates):
1 Er 0.7500 0.7500 0.7500  4 Mg 3.09, 4 Be 3.09
2 Er 0.2500 0.2500 0.2500  4 Mg 3.09, 4 Be 3.09
3 Be 0.0000 0.0000 0.0000  8 Er 3.09
4 Mg 0.5000 0.5000 0.5000  8 Er 3.09

## Properties
crystal system: cubic


No. 6
A plane-wave DFT calculation with PBE was carried out for crystalline Er2MgBe at its relaxed geometry.

Unit cell a=3.6637 b=4.9885 c=4.9885 alpha=90.00 beta=90.00 gamma=90.00
With the nearest neighbours (Å) after each atom.
Atoms (fractional coordinates):
1 Be 0.5000 0.0000 0.0000  8 Er 3.09
2 Mg 0.5000 0.5000 0.5000  8 Er 3.09
3 Er 0.0000 0.5000 0.0000  4 Be 3.09, 4 Mg 3.09
4 Er 0.0000 0.0000 0.5000  4 Mg 3.09, 4 Be 3.09

## Properties
crystal system: tetragonal


No. 7
A plane-wave DFT calculation with PBE was carried out for crystalline NdErMgBe at its relaxed geometry.

Unit cell a=5.1442 b=5.1442 c=5.1442 alpha=60.00 beta=60.00 gamma=60.00
With the nearest neighbours (Å) after each atom.
Atoms (fractional coordinates):
1 Er 0.2500 0.2500 0.2500  4 Mg 3.15, 4 Be 3.15
2 Mg 0.5000 0.5000 0.5000  4 Nd 3.15, 4 Er 3.15
3 Be 0.0000 0.0000 0.0000  4 Nd 3.15, 4 Er 3.15
4 Nd 0.7500 0.7500 0.7500  4 Be 3.15, 4 Mg 3.15

## Properties
crystal system: cubic


No. 8
A plane-wave DFT calculation with PBE was carried out for crystalline PmErMgBe at its relaxed geometry.

Unit cell a=5.1265 b=5.1265 c=5.1265 alpha=60.00 beta=60.00 gamma=60.00
With the nearest neighbours (Å) after each atom.
Atoms (fractional coordinates):
1 Be 0.5000 0.5000 0.5000  4 Er 3.14, 4 Pm 3.14
2 Mg 0.0000 0.0000 0.0000  4 Er 3.14, 4 Pm 3.14
3 Pm 0.2500 0.2500 0.2500  4 Be 3.14, 4 Mg 3.14
4 Er 0.7500 0.7500 0.7500  4 Be 3.14, 4 Mg 3.14

## Properties
crystal system: cubic


Taking the records one at a time from the top gives formation enthalpy at 0 K values of -1.9; -12.7; -0.4; 66.5; 8.5; 9.2; 10.1; 9.6 kJ/mol of atoms.
Taking the records one at a time from the top gives DFT total energy values of -3.814; -3.653; -3.615; -2.923; -3.523; -3.516; -3.558; -3.559 eV per atom.